Model one:
# TiMnAs2 GGA-PBE optimized geometry
data_TiMnAs2
_symmetry_space_group_name_H-M 'P 1 21/m 1'
_symmetry_Int_Tables_number 11
_symmetry_space_group_name_Hall '-P 2yb'
_cell_length_a 6.5072
_cell_length_b 3.5585
_cell_length_c 6.6157
_cell_angle_alpha 90.00
_cell_angle_beta 119.14
_cell_angle_gamma 90.00
loop_
_atom_site_label
_atom_site_fract_x
_atom_site_fract_y
_atom_site_fract_z
Ti1 0.2260 0.2500 0.1933
Mn1 0.3155 0.7500 0.8699
As1 0.0192 0.2500 0.7434
As2 0.4395 0.2500 0.6790
# Density of states at the Fermi level (states/eV/cell): 4.0
# Total magnetic moment (μB/atom): 0.69

=====

Model two:
# TiMnAs2 GGA-PBE optimized geometry
data_TiMnAs2
_symmetry_space_group_name_H-M 'R -3 m'
_symmetry_Int_Tables_number 166
_symmetry_space_group_name_Hall '-R 3 2"'
_cell_length_a 3.6877
_cell_length_b 3.6877
_cell_length_c 18.0104
_cell_angle_alpha 90.00
_cell_angle_beta 90.00
_cell_angle_gamma 120.00
loop_
_atom_site_label
_atom_site_fract_x
_atom_site_fract_y
_atom_site_fract_z
Ti1 0.0000 0.0000 0.0000
Mn1 0.0000 0.0000 0.5000
As1 0.0000 0.0000 0.2489
# Density of states at the Fermi level (states/eV/cell): 8.0
# Total magnetic moment (μB/atom): 1.06

=====

Model three:
# TiMnAs2 GGA-PBE optimized geometry
data_TiMnAs2
_symmetry_space_group_name_H-M 'R 3 m'
_symmetry_Int_Tables_number 160
_symmetry_space_group_name_Hall 'R 3 -2"'
_cell_length_a 3.6266
_cell_length_b 3.6266
_cell_length_c 17.7147
_cell_angle_alpha 90.00
_cell_angle_beta 90.00
_cell_angle_gamma 120.00
loop_
_atom_site_label
_atom_site_fract_x
_atom_site_fract_y
_atom_site_fract_z
Ti1 0.0000 0.0000 0.0000
Mn1 0.0000 0.0000 0.1729
As1 0.0000 0.0000 0.4224
As2 0.0000 0.0000 0.5833
# Density of states at the Fermi level (states/eV/cell): 6.0
# Total magnetic moment (μB/atom): 0.76

=====

Most stable pick: model one. Distance to second place: 0.015 eV/atom.